Record 1
## TmThBi2 (PBE)

Data for a relaxed TmThBi2 crystal.

abc: 4.444 4.444 8.182
angles: 74.24 74.24 60.00
Positions (direct):
Tm 0.497 0.497 0.509
Th 0.669 0.669 0.993
Bi 0.086 0.086 0.741
Bi 0.248 0.248 0.257

Summary:
The space group is R3m. As for the density of states at the Fermi level: 0.860 states/eV per atom. The calculation puts the polymorph energy (0 for the lowest one) at 93 meV/atom.

=====

Record 2
## TmTh2Bi3 (PBE)

Data for a relaxed TmTh2Bi3 crystal.

abc: 7.874 7.874 14.356
angles: 100.52 100.52 109.51
Positions (direct):
Tm 0.916 0.916 0.833
Tm 0.334 0.834 0.667
Tm 0.166 0.666 0.333
Tm 0.084 0.084 0.167
Th 0.998 0.498 0.997
Th 0.418 0.418 0.837
Th 0.832 0.332 0.663
Th 0.252 0.252 0.503
Th 0.748 0.748 0.497
Th 0.668 0.168 0.337
Th 0.582 0.582 0.163
Th 0.502 0.002 0.003
Bi 0.165 0.675 0.829
Bi 0.664 0.155 0.829
Bi 0.085 0.075 0.671
Bi 0.586 0.595 0.671
Bi 0.012 0.512 0.500
Bi 0.488 0.988 0.500
Bi 0.405 0.414 0.329
Bi 0.925 0.915 0.329
Bi 0.845 0.336 0.171
Bi 0.325 0.835 0.171
Bi 0.238 0.238 0.000
Bi 0.762 0.762 0.000

Summary:
The space group is Fddd. As for the density of states at the Fermi level: 0.641 states/eV per atom. Its uncorrected energy is -5.78 eV/atom.

=====

Record 3
## Tm2ThBi (PBE)

Data for a relaxed Tm2ThBi crystal.

abc: 4.743 4.942 4.942
angles: 90.00 90.00 90.00
Positions (direct):
Tm 0.000 0.000 0.500
Tm 0.000 0.500 0.000
Bi 0.500 0.000 0.000
Th 0.500 0.500 0.500

Summary:
The space group is P4/mmm. As for the density of states at the Fermi level: 0.906 states/eV per atom. The calculation puts the polymorph energy (0 for the lowest one) at 44 meV/atom.

=====

Record 4
## Tm2ThBi (PBE)

Data for a relaxed Tm2ThBi crystal.

abc: 4.608 4.562 11.846
angles: 90.00 101.22 90.00
Positions (direct):
Tm 0.557 0.250 0.113
Tm 0.443 0.750 0.887
Tm 0.056 0.750 0.112
Tm 0.944 0.250 0.888
Th 0.697 0.750 0.394
Th 0.303 0.250 0.606
Bi 0.159 0.250 0.318
Bi 0.841 0.750 0.682

Summary:
The space group is Cmcm. As for the density of states at the Fermi level: 1.142 states/eV per atom. The calculation puts the polymorph energy (0 for the lowest one) at 12 meV/atom.

=====

Record 5
## TmTh6Bi8 (PBE)

Data for a relaxed TmTh6Bi8 crystal.

abc: 8.523 8.523 8.523
angles: 68.59 68.59 68.59
Positions (direct):
Tm 0.000 0.000 0.000
Th 0.077 0.462 0.692
Th 0.308 0.923 0.538
Th 0.538 0.308 0.923
Th 0.462 0.692 0.077
Th 0.692 0.077 0.462
Th 0.923 0.538 0.308
Bi 0.182 0.641 0.906
Bi 0.094 0.818 0.359
Bi 0.359 0.094 0.818
Bi 0.669 0.669 0.669
Bi 0.331 0.331 0.331
Bi 0.641 0.906 0.182
Bi 0.906 0.182 0.641
Bi 0.818 0.359 0.094

Summary:
The space group is R-3. As for the density of states at the Fermi level: 0.689 states/eV per atom. Its uncorrected energy is -5.86 eV/atom.

=====

Record 6
## TmThBi2 (PBE)

Data for a relaxed TmThBi2 crystal.

abc: 4.085 4.085 7.097
angles: 90.00 90.00 90.00
Positions (direct):
Tm 0.500 0.500 0.500
Bi 0.000 0.000 0.745
Bi 0.000 0.000 0.255
Th 0.500 0.500 0.000

Summary:
The space group is P4/mmm. As for the density of states at the Fermi level: 0.891 states/eV per atom. The calculation puts the polymorph energy (0 for the lowest one) at 142 meV/atom.